Entry 1:
Crystalline Gd2TlSn at its relaxed geometry, computed with GGA-PBE.

Structure (CIF):
```
data_Gd2TlSn
_chemical_formula_sum 'Gd2 Tl1 Sn1'
_cell_length_a 3.845
_cell_length_b 3.845
_cell_length_c 9.595
_cell_angle_alpha 78.44
_cell_angle_beta 78.44
_cell_angle_gamma 60.00
_symmetry_space_group_name_H-M 'P 1'
_symmetry_Int_Tables_number 1
_symmetry_space_group_name_Hall 'P 1'
loop_
_atom_site_label
_atom_site_type_symbol
_atom_site_fract_x
_atom_site_fract_y
_atom_site_fract_z
Tl1 Tl 0.000 0.000 0.000
Gd1 Gd 0.248 0.248 0.256
Gd2 Gd 0.752 0.752 0.744
Sn1 Sn 0.500 0.500 0.500
```

Properties
Its energy of formation from the pure elements is -1.57 eV per formula unit. Its symmetry is R-3m. As for the energy: -9.026 eV per atom.


Entry 2:
Crystalline GdTlSn4 at its relaxed geometry, computed with GGA-PBE.

Structure (CIF):
```
data_GdTlSn4
_chemical_formula_sum 'Gd1 Tl1 Sn4'
_cell_length_a 6.233
_cell_length_b 6.233
_cell_length_c 6.233
_cell_angle_alpha 60.00
_cell_angle_beta 60.00
_cell_angle_gamma 60.00
_symmetry_space_group_name_H-M 'P 1'
_symmetry_Int_Tables_number 1
_symmetry_space_group_name_Hall 'P 1'
loop_
_atom_site_label
_atom_site_type_symbol
_atom_site_fract_x
_atom_site_fract_y
_atom_site_fract_z
Sn1 Sn 0.625 0.625 0.126
Sn2 Sn 0.625 0.126 0.625
Tl1 Tl 0.000 0.000 0.000
Gd1 Gd 0.250 0.250 0.250
Sn3 Sn 0.126 0.625 0.625
Sn4 Sn 0.625 0.625 0.625
```

Properties
Its energy of formation from the pure elements is -1.03 eV per formula unit. Its symmetry is F-43m. As for the energy: -5.581 eV per atom.


Entry 3:
Crystalline GdTlSn at its relaxed geometry, computed with GGA-PBE.

Structure (CIF):
```
data_GdTlSn
_chemical_formula_sum 'Gd1 Tl1 Sn1'
_cell_length_a 3.821
_cell_length_b 3.821
_cell_length_c 6.293
_cell_angle_alpha 107.68
_cell_angle_beta 107.68
_cell_angle_gamma 90.00
_symmetry_space_group_name_H-M 'P 1'
_symmetry_Int_Tables_number 1
_symmetry_space_group_name_Hall 'P 1'
loop_
_atom_site_label
_atom_site_type_symbol
_atom_site_fract_x
_atom_site_fract_y
_atom_site_fract_z
Sn1 Sn 0.960 0.960 0.920
Gd1 Gd 0.284 0.284 0.569
Tl1 Tl 0.606 0.606 0.211
```

Properties
Its energy of formation from the pure elements is -0.85 eV per formula unit. Its symmetry is I4mm. As for the energy: -7.100 eV per atom.


Entry 4:
Crystalline Gd2TlSn at its relaxed geometry, computed with GGA-PBE.

Structure (CIF):
```
data_Gd2TlSn
_chemical_formula_sum 'Gd2 Tl1 Sn1'
_cell_length_a 4.003
_cell_length_b 4.003
_cell_length_c 6.953
_cell_angle_alpha 90.00
_cell_angle_beta 90.00
_cell_angle_gamma 90.00
_symmetry_space_group_name_H-M 'P 1'
_symmetry_Int_Tables_number 1
_symmetry_space_group_name_Hall 'P 1'
loop_
_atom_site_label
_atom_site_type_symbol
_atom_site_fract_x
_atom_site_fract_y
_atom_site_fract_z
Sn1 Sn 0.500 0.500 0.000
Gd1 Gd 0.000 0.000 0.241
Gd2 Gd 0.000 0.000 0.759
Tl1 Tl 0.500 0.500 0.500
```

Properties
Its energy of formation from the pure elements is -2.08 eV per formula unit. Its symmetry is P4/mmm. As for the energy: -9.153 eV per atom.


Entry 5:
Crystalline GdTlSn at its relaxed geometry, computed with GGA-PBE.

Structure (CIF):
```
data_GdTlSn
_chemical_formula_sum 'Gd1 Tl1 Sn1'
_cell_length_a 4.443
_cell_length_b 4.737
_cell_length_c 4.737
_cell_angle_alpha 120.00
_cell_angle_beta 90.00
_cell_angle_gamma 90.00
_symmetry_space_group_name_H-M 'P 1'
_symmetry_Int_Tables_number 1
_symmetry_space_group_name_Hall 'P 1'
loop_
_atom_site_label
_atom_site_type_symbol
_atom_site_fract_x
_atom_site_fract_y
_atom_site_fract_z
Sn1 Sn 0.302 0.333 0.667
Tl1 Tl 0.023 0.000 0.000
Gd1 Gd 0.676 0.667 0.333
```

Properties
Its energy of formation from the pure elements is -1.05 eV per formula unit. Its symmetry is P3m1. As for the energy: -7.166 eV per atom.


Entry 6:
Crystalline GdTl2Sn at its relaxed geometry, computed with GGA-PBE.

Structure (CIF):
```
data_GdTl2Sn
_chemical_formula_sum 'Gd1 Tl2 Sn1'
_cell_length_a 3.582
_cell_length_b 3.582
_cell_length_c 10.584
_cell_angle_alpha 80.26
_cell_angle_beta 80.26
_cell_angle_gamma 60.00
_symmetry_space_group_name_H-M 'P 1'
_symmetry_Int_Tables_number 1
_symmetry_space_group_name_Hall 'P 1'
loop_
_atom_site_label
_atom_site_type_symbol
_atom_site_fract_x
_atom_site_fract_y
_atom_site_fract_z
Sn1 Sn 0.500 0.500 0.500
Tl1 Tl 0.751 0.751 0.747
Tl2 Tl 0.249 0.249 0.253
Gd1 Gd 0.000 0.000 0.000
```

Properties
Its energy of formation from the pure elements is -0.28 eV per formula unit. Its symmetry is R-3m. As for the energy: -5.773 eV per atom.


Entry 7:
Crystalline Gd2TlSn at its relaxed geometry, computed with GGA-PBE.

Structure (CIF):
```
data_Gd2TlSn
_chemical_formula_sum 'Gd2 Tl1 Sn1'
_cell_length_a 4.480
_cell_length_b 4.952
_cell_length_c 4.952
_cell_angle_alpha 90.00
_cell_angle_beta 90.00
_cell_angle_gamma 90.00
_symmetry_space_group_name_H-M 'P 1'
_symmetry_Int_Tables_number 1
_symmetry_space_group_name_Hall 'P 1'
loop_
_atom_site_label
_atom_site_type_symbol
_atom_site_fract_x
_atom_site_fract_y
_atom_site_fract_z
Gd1 Gd 0.000 0.500 0.000
Sn1 Sn 0.500 0.000 0.000
Tl1 Tl 0.500 0.500 0.500
Gd2 Gd 0.000 0.000 0.500
```

Properties
Its energy of formation from the pure elements is -2.22 eV per formula unit. Its symmetry is P4/mmm. As for the energy: -9.187 eV per atom.


Entry 8:
Crystalline GdYTlSn at its relaxed geometry, computed with GGA-PBE.

Structure (CIF):
```
data_GdYTlSn
_chemical_formula_sum 'Gd1 Y1 Tl1 Sn1'
_cell_length_a 5.383
_cell_length_b 5.383
_cell_length_c 5.383
_cell_angle_alpha 60.00
_cell_angle_beta 60.00
_cell_angle_gamma 60.00
_symmetry_space_group_name_H-M 'P 1'
_symmetry_Int_Tables_number 1
_symmetry_space_group_name_Hall 'P 1'
loop_
_atom_site_label
_atom_site_type_symbol
_atom_site_fract_x
_atom_site_fract_y
_atom_site_fract_z
Sn1 Sn 0.000 0.000 0.000
Y1 Y 0.750 0.750 0.750
Gd1 Gd 0.250 0.250 0.250
Tl1 Tl 0.500 0.500 0.500
```

Properties
Its energy of formation from the pure elements is -1.97 eV per formula unit. Its symmetry is F-43m. As for the energy: -7.221 eV per atom.


Entry 9:
Crystalline GdTmSn2 at its relaxed geometry, computed with GGA-PBE.

Structure (CIF):
```
data_GdTmSn2
_chemical_formula_sum 'Gd1 Tm1 Sn2'
_cell_length_a 3.799
_cell_length_b 3.799
_cell_length_c 9.347
_cell_angle_alpha 78.28
_cell_angle_beta 78.28
_cell_angle_gamma 60.00
_symmetry_space_group_name_H-M 'P 1'
_symmetry_Int_Tables_number 1
_symmetry_space_group_name_Hall 'P 1'
loop_
_atom_site_label
_atom_site_type_symbol
_atom_site_fract_x
_atom_site_fract_y
_atom_site_fract_z
Gd1 Gd 0.000 0.000 0.000
Sn1 Sn 0.248 0.248 0.255
Tm1 Tm 0.500 0.500 0.500
Sn2 Sn 0.752 0.752 0.745
```

Properties
Its energy of formation from the pure elements is -2.06 eV per formula unit. Its symmetry is R-3m. As for the energy: -7.154 eV per atom.


Entry 10:
Crystalline GdTmSn2 at its relaxed geometry, computed with GGA-PBE.

Structure (CIF):
```
data_GdTmSn2
_chemical_formula_sum 'Gd1 Tm1 Sn2'
_cell_length_a 5.350
_cell_length_b 5.350
_cell_length_c 5.350
_cell_angle_alpha 60.00
_cell_angle_beta 60.00
_cell_angle_gamma 60.00
_symmetry_space_group_name_H-M 'P 1'
_symmetry_Int_Tables_number 1
_symmetry_space_group_name_Hall 'P 1'
loop_
_atom_site_label
_atom_site_type_symbol
_atom_site_fract_x
_atom_site_fract_y
_atom_site_fract_z
Sn1 Sn 0.750 0.750 0.750
Sn2 Sn 0.250 0.250 0.250
Gd1 Gd 0.500 0.500 0.500
Tm1 Tm 0.000 0.000 0.000
```

Properties
Its energy of formation from the pure elements is -2.21 eV per formula unit. Its symmetry is Fm-3m. As for the energy: -7.192 eV per atom.


Entry 11:
Crystalline GdTmSn2 at its relaxed geometry, computed with GGA-PBE.

Structure (CIF):
```
data_GdTmSn2
_chemical_formula_sum 'Gd1 Tm1 Sn2'
_cell_length_a 4.425
_cell_length_b 4.878
_cell_length_c 4.878
_cell_angle_alpha 90.00
_cell_angle_beta 90.00
_cell_angle_gamma 90.00
_symmetry_space_group_name_H-M 'P 1'
_symmetry_Int_Tables_number 1
_symmetry_space_group_name_Hall 'P 1'
loop_
_atom_site_label
_atom_site_type_symbol
_atom_site_fract_x
_atom_site_fract_y
_atom_site_fract_z
Gd1 Gd 0.500 0.500 0.500
Sn1 Sn 0.000 0.000 0.500
Sn2 Sn 0.000 0.500 0.000
Tm1 Tm 0.500 0.000 0.000
```

Properties
Its energy of formation from the pure elements is -2.48 eV per formula unit. Its symmetry is P4/mmm. As for the energy: -7.260 eV per atom.


Entry 12:
Crystalline GdTmSn2 at its relaxed geometry, computed with GGA-PBE.

Structure (CIF):
```
data_GdTmSn2
_chemical_formula_sum 'Gd1 Tm1 Sn2'
_cell_length_a 3.981
_cell_length_b 3.981
_cell_length_c 6.755
_cell_angle_alpha 90.00
_cell_angle_beta 90.00
_cell_angle_gamma 90.00
_symmetry_space_group_name_H-M 'P 1'
_symmetry_Int_Tables_number 1
_symmetry_space_group_name_Hall 'P 1'
loop_
_atom_site_label
_atom_site_type_symbol
_atom_site_fract_x
_atom_site_fract_y
_atom_site_fract_z
Sn1 Sn 0.000 0.000 0.737
Gd1 Gd 0.500 0.500 0.000
Tm1 Tm 0.500 0.500 0.500
Sn2 Sn 0.000 0.000 0.263
```

Properties
Its energy of formation from the pure elements is -2.39 eV per formula unit. Its symmetry is P4/mmm. As for the energy: -7.237 eV per atom.


no.,spin magnetization (μB per cell)
1,14.259
2,7.140
3,7.687
4,14.782
5,6.974
6,7.376
7,14.975
8,7.218
9,7.131
10,7.211
11,7.682
12,7.726